Record 1
Below is crystalline CaPm3Cu4 at its relaxed geometry, with properties calculated at the PBE level.

Computed properties:
ΔE_f = -0.15 eV per atom
calculated total energy = -4.23 eV/atom

a b c (Å): 10.0871 7.0938 5.0454
angles (deg): 90.00 90.00 90.00
With the nearest neighbours (Å) after each atom.
Space group Pmma (No. 51)
Unique sites:
Ca 0.0000 0.0000 0.0000  8 Cu 3.11-3.12
Pm 0.0000 0.5000 0.0000  8 Cu 3.05
Pm 0.2500 0.0000 0.4985  8 Cu 3.11-3.12
Pm 0.2500 0.5000 0.4980  8 Cu 3.05-3.06
Cu 0.0000 0.2577 0.5000  6 Pm 3.05-3.11, 2 Ca 3.12
Cu 0.2500 0.2576 0.9963  6 Pm 3.05-3.12, 2 Ca 3.11

=====

Record 2
Below is crystalline ScMn2Be at its relaxed geometry, with properties calculated at the PBE level.

Computed properties:
ΔE_f = 0.12 eV per atom
calculated total energy = -6.98 eV/atom

a b c (Å): 2.8331 3.8533 4.9069
angles (deg): 90.00 102.82 90.00
With the nearest neighbours (Å) after each atom.
Space group Pm (No. 6)
Unique sites:
Sc 0.0000 0.0000 0.0000  2 Mn 2.49-2.62, 4 Be 2.63-2.68
Mn 0.2832 0.5000 0.6320  2 Mn 2.26, 2 Be 2.31-2.39
Mn 0.5786 0.0000 0.4976  2 Mn 2.26, 2 Be 2.32, 1 Sc 2.49
Be 0.6083 0.5000 0.2395  4 Mn 2.31-2.39

=====

Record 3
Below is crystalline TaIrW3 at its relaxed geometry, with properties calculated at the PBE level.

Computed properties:
ΔE_f = 1.87 eV per atom
calculated total energy = -10.04 eV/atom
energy above the lowest structure with this stoichiometry = 0 meV per atom

a b c (Å): 4.7108 4.7108 4.7108
angles (deg): 90.00 90.00 90.00
With the nearest neighbours (Å) after each atom.
Space group Pm-3m (No. 221)
Unique sites:
Ta 0.0000 0.0000 0.0000  12 W 3.33
Ir 0.5000 0.5000 0.5000  6 W 2.36
W 0.0000 0.5000 0.5000  2 Ir 2.36

=====

Record 4
Below is crystalline Ti8Sn3H2 at its relaxed geometry, with properties calculated at the PBE level.

Computed properties:
calculated total energy = -6.58 eV/atom

a b c (Å): 5.5955 5.5955 23.4371
angles (deg): 90.00 90.00 120.00
With the nearest neighbours (Å) after each atom.
Space group R-3m (No. 166, hexagonal axes)
Unique sites:
Ti 0.0000 0.0000 0.1809  1 H 1.79
Ti 0.0067 0.5034 0.7317  1 H 1.83
Sn 0.0000 0.0000 0.2991  10 Ti 2.77-2.89
Sn 0.0000 0.0000 0.5000  6 Ti 2.90
H 0.0000 0.0000 0.1043  4 Ti 1.79-1.83

=====

What is the calculated total energy in the second record? -6.98 eV/atom